Record 1
## ErMn2C3 (GGA-PBE)

Data for a relaxed ErMn2C3 crystal.

Results
As for the crystal system: orthorhombic. The total DFT energy (no corrections) is -8.439 eV/atom.

a b c (Å): 4.8407 6.6130 5.5257
angles (deg): 126.75 90.00 90.00
Closest atoms and distances in Å follow each position.
Atoms (fractional coordinates):
C 0.7500 0.9123 0.8247  4 Mn 1.91
C 0.7500 0.6831 0.1532  1 C 1.41
C 0.7500 0.4701 0.1532  1 C 1.41
C 0.2500 0.3169 0.8468  1 C 1.41
C 0.2500 0.0877 0.1753  4 Mn 1.91
C 0.2500 0.5299 0.8468  1 C 1.41
Mn 0.5000 0.1895 0.0000  4 C 1.91-1.94
Mn 0.0000 0.8105 0.0000  4 C 1.91-1.94
Mn 0.0000 0.1895 0.0000  4 C 1.91-1.94
Mn 0.5000 0.8105 0.0000  4 C 1.91-1.94
Er 0.2500 0.7028 0.4055  6 C 2.57-2.76
Er 0.7500 0.2972 0.5945  6 C 2.57-2.76

Record 2
## Er2MnC2 (GGA-PBE)

Data for a relaxed Er2MnC2 crystal.

Results
As for the crystal system: monoclinic. The total DFT energy (no corrections) is -7.690 eV/atom.

a b c (Å): 4.9922 5.9689 6.5543
angles (deg): 117.54 90.00 114.72
Closest atoms and distances in Å follow each position.
Atoms (fractional coordinates):
Er 0.9622 0.9244 0.2176  4 C 2.37-2.51
Er 0.0378 0.0756 0.7824  4 C 2.37-2.51
Er 0.6807 0.3615 0.6178  5 C 2.42-2.58
Er 0.3193 0.6385 0.3822  5 C 2.42-2.58
C 0.8125 0.6249 0.3833  1 Mn 1.82
C 0.5136 0.0272 0.7908  2 Mn 1.87-1.93
C 0.1875 0.3751 0.6167  1 Mn 1.82
C 0.4864 0.9728 0.2092  2 Mn 1.87-1.93
Mn 0.3695 0.7391 0.8684  3 C 1.82-1.93
Mn 0.6305 0.2609 0.1316  3 C 1.82-1.93

Record 3
## Er2Mn2C3 (GGA-PBE)

Data for a relaxed Er2Mn2C3 crystal.

Results
As for the crystal system: monoclinic. The total DFT energy (no corrections) is -8.218 eV/atom.

a b c (Å): 3.3631 5.4628 5.3398
angles (deg): 104.55 108.36 90.00
Closest atoms and distances in Å follow each position.
Atoms (fractional coordinates):
C 0.2887 0.7290 0.5773  3 Mn 1.94-1.97
C 0.0000 0.5000 0.0000  2 Mn 1.84
C 0.7113 0.2710 0.4227  3 Mn 1.94-1.97
Mn 0.8432 0.6086 0.6864  4 C 1.84-1.97
Mn 0.1568 0.3914 0.3136  4 C 1.84-1.97
Er 0.3937 0.1844 0.7874  5 C 2.43-2.63
Er 0.6063 0.8156 0.2126  5 C 2.43-2.63

Record 4
## ErMn5C2 (GGA-PBE)

Data for a relaxed ErMn5C2 crystal.

Results
As for the crystal system: orthorhombic. The total DFT energy (no corrections) is -8.612 eV/atom.

a b c (Å): 3.2389 5.5558 5.5558
angles (deg): 71.63 73.05 73.05
Closest atoms and distances in Å follow each position.
Atoms (fractional coordinates):
Er 0.0000 0.0000 0.0000  4 C 2.65, 8 Mn 2.94
Mn 0.3387 0.4764 0.8462  3 C 2.15-2.18, 3 Mn 2.36-2.40
Mn 0.0000 0.5000 0.5000  2 C 2.10
Mn 0.3387 0.8462 0.4764  3 C 2.15-2.18, 3 Mn 2.36-2.40
Mn 0.6613 0.5236 0.1538  3 C 2.15-2.18, 3 Mn 2.36-2.40
Mn 0.6613 0.1538 0.5236  3 C 2.15-2.18, 3 Mn 2.36-2.40
C 0.2498 0.2502 0.2502  7 Mn 2.10-2.18
C 0.7502 0.7498 0.7498  7 Mn 2.10-2.18

Record 5
## ErMnMoC3 (GGA-PBE)

Data for a relaxed ErMnMoC3 crystal.

Results
As for the crystal system: monoclinic. The total DFT energy (no corrections) is -8.668 eV/atom.

a b c (Å): 3.2552 6.6303 7.2706
angles (deg): 102.41 90.00 90.00
Closest atoms and distances in Å follow each position.
Atoms (fractional coordinates):
Er 0.7500 0.8236 0.8041  5 C 2.41-2.51
Er 0.2500 0.1764 0.1959  5 C 2.41-2.51
C 0.2500 0.1192 0.8570  1 Mn 1.83
C 0.2500 0.5615 0.8404  3 Mo 2.07-2.17
C 0.2500 0.8214 0.4821  3 Mn 1.83-1.93
C 0.7500 0.4385 0.1596  3 Mo 2.07-2.17
C 0.7500 0.1786 0.5179  3 Mn 1.83-1.93
C 0.7500 0.8808 0.1430  1 Mn 1.83
Mo 0.7500 0.3538 0.8678  5 C 2.07-2.24
Mo 0.2500 0.6462 0.1322  5 C 2.07-2.24
Mn 0.2500 0.1104 0.6031  4 C 1.83-1.93
Mn 0.7500 0.8896 0.3969  4 C 1.83-1.93

Record 6
## ErMnMo2C4 (GGA-PBE)

Data for a relaxed ErMnMo2C4 crystal.

Results
As for the crystal system: orthorhombic. The total DFT energy (no corrections) is -9.096 eV/atom.

a b c (Å): 3.1792 5.6247 10.6144
angles (deg): 90.00 90.00 106.42
Closest atoms and distances in Å follow each position.
Atoms (fractional coordinates):
Er 0.8931 0.7862 0.2500  6 C 2.47-2.53
Er 0.1069 0.2138 0.7500  6 C 2.47-2.53
C 0.2654 0.5307 0.1168  1 Mn 1.83, 1 Mo 2.01
C 0.7346 0.4693 0.6168  1 Mn 1.83, 1 Mo 2.01
C 0.0000 0.0000 0.5000  4 Mo 2.14
C 0.4318 0.8636 0.7500  2 Mn 1.86
C 0.0000 0.0000 0.0000  4 Mo 2.14
C 0.2654 0.5307 0.3832  1 Mn 1.83, 1 Mo 2.01
C 0.7346 0.4693 0.8832  1 Mn 1.83, 1 Mo 2.01
C 0.5682 0.1364 0.2500  2 Mn 1.86
Mo 0.6275 0.2551 0.4620  3 C 2.01-2.14
Mo 0.6275 0.2551 0.0380  3 C 2.01-2.14
Mo 0.3725 0.7449 0.9620  3 C 2.01-2.14
Mo 0.3725 0.7449 0.5380  3 C 2.01-2.14
Mn 0.1580 0.3161 0.2500  4 C 1.83-1.86
Mn 0.8420 0.6839 0.7500  4 C 1.83-1.86

Record 7
## ErMnNb2C4 (GGA-PBE)

Data for a relaxed ErMnNb2C4 crystal.

Results
As for the crystal system: orthorhombic. The total DFT energy (no corrections) is -9.153 eV/atom.

a b c (Å): 3.2071 5.7482 10.8950
angles (deg): 90.00 90.00 106.20
Closest atoms and distances in Å follow each position.
Atoms (fractional coordinates):
Nb 0.6305 0.2610 0.0410  3 C 2.10-2.20
Nb 0.6305 0.2610 0.4590  3 C 2.10-2.20
Nb 0.3695 0.7390 0.9590  3 C 2.10-2.20
Nb 0.3695 0.7390 0.5410  3 C 2.10-2.20
C 0.0000 0.0000 0.0000  4 Nb 2.20
C 0.0000 0.0000 0.5000  4 Nb 2.20
C 0.5722 0.1444 0.2500  2 Mn 1.89
C 0.7345 0.4690 0.6200  1 Mn 1.81
C 0.2655 0.5310 0.3800  1 Mn 1.81
C 0.4278 0.8556 0.7500  2 Mn 1.89
C 0.2655 0.5310 0.1200  1 Mn 1.81
C 0.7345 0.4690 0.8800  1 Mn 1.81
Er 0.8982 0.7964 0.2500  6 C 2.50-2.59
Er 0.1018 0.2036 0.7500  6 C 2.50-2.59
Mn 0.8371 0.6741 0.7500  4 C 1.81-1.89
Mn 0.1629 0.3259 0.2500  4 C 1.81-1.89

Record 8
## ErMn2PC (GGA-PBE)

Data for a relaxed ErMn2PC crystal.

Results
As for the crystal system: orthorhombic. The total DFT energy (no corrections) is -8.217 eV/atom.

a b c (Å): 3.6121 5.5129 6.8532
angles (deg): 90.00 90.00 109.12
Closest atoms and distances in Å follow each position.
Atoms (fractional coordinates):
Mn 0.8292 0.6585 0.4424  1 C 1.82
Mn 0.1708 0.3415 0.5576  1 C 1.82
Mn 0.1708 0.3415 0.9424  1 C 1.82
Mn 0.8292 0.6585 0.0576  1 C 1.82
C 0.0000 0.0000 0.0000  2 Mn 1.82
C 0.0000 0.0000 0.5000  2 Mn 1.82
P 0.7340 0.4681 0.7500  6 Mn 2.33
P 0.2660 0.5319 0.2500  6 Mn 2.33
Er 0.5430 0.0861 0.2500  4 C 2.53
Er 0.4570 0.9139 0.7500  4 C 2.53

So what do the calculations give for formation energy? Going down the list: -10; -342; -341; -5; 38; -60; -307; -710 meV/atom.